Entry 1:
The following is a PBE+U calculation of Na3Ac3CrO8 after structural relaxation, from the Alexandria database.

Output
Calculated total energy in eV/atom: -6.523

```
Na3Ac3CrO8
1.0
-6.610 -0.070 2.989
3.067 -6.194 -2.166
2.449 3.547 5.501
Na Ac Cr O
3 3 1 8
direct
0.000 0.000 0.000
0.000 0.500 0.000
0.500 0.500 0.000
0.500 0.000 0.500
0.500 0.500 0.500
0.000 0.500 0.500
0.000 0.000 0.500
0.256 0.512 0.270
0.744 0.488 0.730
0.799 0.598 0.305
0.201 0.402 0.695
0.796 0.008 0.304
0.204 0.992 0.696
0.212 0.008 0.304
0.788 0.992 0.696
```


Entry 2:
The following is a PBE+U calculation of Na2AcCrO4 after structural relaxation, from the Alexandria database.

Output
Calculated total energy in eV/atom: -6.288

```
Na2AcCrO4
1.0
3.435 0.000 0.000
0.000 5.961 0.029
0.000 -2.151 5.579
Na Ac Cr O
2 1 1 4
direct
0.500 0.000 0.500
0.000 0.500 0.500
0.000 0.000 0.000
0.500 0.500 0.000
0.500 0.291 0.212
0.500 0.709 0.788
0.000 0.293 0.794
0.000 0.707 0.206
```


Entry 3:
The following is a PBE+U calculation of Na3Ac2CrO6 after structural relaxation, from the Alexandria database.

Output
Calculated total energy in eV/atom: -6.351

```
Na3Ac2CrO6
1.0
-3.959 -0.914 4.723
4.884 -3.753 -0.935
2.896 4.675 2.181
Na Ac Cr O
3 2 1 6
direct
0.131 0.869 0.500
0.869 0.131 0.500
0.500 0.500 0.500
0.332 0.668 0.000
0.668 0.332 0.000
0.000 0.000 0.000
0.935 0.653 0.788
0.765 0.765 0.204
0.065 0.347 0.212
0.653 0.935 0.788
0.235 0.235 0.796
0.347 0.065 0.212
```


Entry 4:
The following is a PBE+U calculation of AcNbCr2O8 after structural relaxation, from the Alexandria database.

Output
Calculated total energy in eV/atom: -7.794

```
AcNbCr2O8
1.0
-4.251 4.174 0.768
-1.005 -4.044 -4.327
0.273 -3.084 5.148
Ac Nb Cr O
1 1 2 8
direct
0.250 0.750 0.500
0.000 0.000 0.000
0.750 0.250 0.500
0.500 0.500 0.000
0.378 0.082 0.296
0.288 0.452 0.164
0.288 0.123 0.836
0.787 0.082 0.704
0.877 0.712 0.164
0.918 0.213 0.296
0.918 0.622 0.704
0.548 0.712 0.836
```


Entry 5:
The following is a PBE+U calculation of Ac2NbCrO6 after structural relaxation, from the Alexandria database.

Output
Calculated total energy in eV/atom: -8.164

```
Ac2NbCrO6
1.0
-0.078 -4.785 -1.782
5.503 -0.336 0.664
-0.739 -1.910 5.162
Ac Nb Cr O
2 1 1 6
direct
0.022 0.500 0.000
0.022 0.000 0.500
0.565 0.000 0.000
0.609 0.500 0.500
0.717 0.241 0.241
0.717 0.241 0.759
0.167 0.500 0.500
0.192 0.000 0.000
0.717 0.759 0.759
0.717 0.759 0.241
```


Entry 6:
The following is a PBE+U calculation of AcNb2CrO8 after structural relaxation, from the Alexandria database.

Output
Calculated total energy in eV/atom: -8.567

```
AcNb2CrO8
1.0
5.322 1.029 -0.004
1.099 5.308 -0.006
0.057 0.060 7.234
Ac Nb Cr O
1 2 1 8
direct
0.000 0.000 0.500
0.363 0.363 0.790
0.637 0.637 0.210
0.000 0.000 0.000
0.253 0.786 0.204
0.783 0.783 0.033
0.786 0.253 0.204
0.747 0.214 0.796
0.217 0.217 0.967
0.214 0.747 0.796
0.722 0.722 0.441
0.278 0.278 0.559
```


Entry 7:
The following is a PBE+U calculation of Ac2NdCrO6 after structural relaxation, from the Alexandria database.

Output
Calculated total energy in eV/atom: -7.981

```
Ac2NdCrO6
1.0
-4.502 3.598 1.750
-2.992 -4.713 1.995
5.719 0.900 1.893
Ac Nd Cr O
2 1 1 6
direct
0.235 0.255 0.510
0.765 0.745 0.490
0.000 0.500 0.000
0.500 0.000 0.000
0.377 0.769 0.539
0.207 0.175 0.873
0.793 0.302 0.127
0.207 0.698 0.873
0.793 0.825 0.127
0.623 0.231 0.461
```


Entry 8:
The following is a PBE+U calculation of Ac2NdCrO8 after structural relaxation, from the Alexandria database.

Output
Calculated total energy in eV/atom: -7.137

```
Ac2NdCrO8
1.0
5.573 0.000 0.000
-2.786 4.826 0.000
0.000 0.000 6.411
Ac Nd Cr O
2 1 1 8
direct
0.667 0.333 0.138
0.333 0.667 0.862
0.000 0.000 0.500
0.000 0.000 0.000
0.844 0.688 0.827
0.312 0.156 0.827
0.844 0.156 0.827
0.156 0.312 0.173
0.688 0.844 0.173
0.156 0.844 0.173
0.667 0.333 0.478
0.333 0.667 0.522
```


Entry 9:
The following is a PBE+U calculation of AcNdCr2O8 after structural relaxation, from the Alexandria database.

Output
Calculated total energy in eV/atom: -7.603

```
AcNdCr2O8
1.0
-0.501 -5.414 3.129
5.579 2.863 0.179
-4.048 3.944 2.721
Ac Nd Cr O
1 1 2 8
direct
0.250 0.750 0.500
0.000 0.000 0.000
0.750 0.250 0.500
0.500 0.500 0.000
0.408 0.089 0.318
0.327 0.499 0.172
0.327 0.155 0.828
0.771 0.089 0.682
0.845 0.673 0.172
0.911 0.229 0.318
0.911 0.592 0.682
0.501 0.673 0.828
```